# ZrPIrO

ZrPIrO after structural relaxation (PBE, the Open Quantum Materials Database).

final energy	-8.09	eV per atom
energy above the most stable polymorph in this dataset	9.48	kcal/mol of atoms

a b c (Å): 3.2925 6.6968 6.5434
angles (deg): 90.00 90.00 90.00
Last column: nearest neighbours and their distance in Å.
Fractional positions:
Zr 0.0000 0.1009 0.0000  2 O 2.06
Zr 0.0000 0.8991 0.5000  2 O 2.06
P 0.0000 0.2802 0.3688  2 Ir 2.31
P 0.0000 0.7198 0.8688  2 Ir 2.31
Ir 0.5000 0.2274 0.6114  1 O 2.07, 2 P 2.31
Ir 0.5000 0.7726 0.1114  1 O 2.07, 2 P 2.31
O 0.5000 0.2702 0.9254  2 Zr 2.06, 1 Ir 2.07
O 0.5000 0.7298 0.4254  2 Zr 2.06, 1 Ir 2.07

# ScTaCoBi

ScTaCoBi after structural relaxation (PBE, the Open Quantum Materials Database).

final energy	-6.88	eV per atom
energy above the most stable polymorph in this dataset	0.00	kcal/mol of atoms

a b c (Å): 4.7361 4.7361 4.7361
angles (deg): 60.00 60.00 60.00
Last column: nearest neighbours and their distance in Å.
Fractional positions:
Sc 0.0000 0.0000 0.0000  4 Ta 2.90, 4 Bi 2.90
Ta 0.7500 0.7500 0.7500  4 Co 2.90, 4 Sc 2.90
Co 0.5000 0.5000 0.5000  4 Bi 2.90, 4 Ta 2.90
Bi 0.2500 0.2500 0.2500  4 Co 2.90, 4 Sc 2.90

# La2Ni

La2Ni after structural relaxation (PBE, the Open Quantum Materials Database).

final energy	-5.29	eV per atom
energy of formation	-3.6	kcal/mol of atoms

a b c (Å): 6.6402 6.6402 4.2518
angles (deg): 90.00 90.00 90.00
Last column: nearest neighbours and their distance in Å.
Fractional positions:
La 0.1947 0.1947 0.0000  3 Ni 2.80-2.87
La 0.3053 0.6947 0.5000  3 Ni 2.80-2.87
La 0.6947 0.3053 0.5000  3 Ni 2.80-2.87
La 0.8053 0.8053 0.0000  3 Ni 2.80-2.87
Ni 0.0000 0.0000 0.5000  6 La 2.80-2.87
Ni 0.5000 0.5000 0.0000  6 La 2.80-2.87

# KAgMoSeS2

KAgMoSeS2 after structural relaxation (PBE, the Open Quantum Materials Database).

final energy	-4.85	eV per atom

a b c (Å): 7.7174 7.7174 10.0861
angles (deg): 90.00 90.00 151.76
Last column: nearest neighbours and their distance in Å.
Fractional positions:
K 0.2427 0.7573 0.7500  2 Se 3.32, 2 Ag 3.45, 6 S 3.53-3.56
K 0.7573 0.2427 0.2500  2 Se 3.32, 2 Ag 3.45, 6 S 3.53-3.56
Ag 0.4504 0.5496 0.2500  2 S 2.42, 2 Se 2.64
Ag 0.5496 0.4504 0.7500  2 S 2.42, 2 Se 2.64
Mo 0.0000 0.0000 0.0000  4 S 2.52, 2 Se 2.76
Mo 0.0000 0.0000 0.5000  4 S 2.52, 2 Se 2.76
Se 0.0743 0.9257 0.2500  2 Ag 2.64, 2 Mo 2.76
Se 0.9257 0.0743 0.7500  2 Ag 2.64, 2 Mo 2.76
S 0.3895 0.6105 0.0279  1 Ag 2.42, 2 Mo 2.52
S 0.3895 0.6105 0.4721  1 Ag 2.42, 2 Mo 2.52
S 0.6105 0.3895 0.5279  1 Ag 2.42, 2 Mo 2.52
S 0.6105 0.3895 0.9721  1 Ag 2.42, 2 Mo 2.52